[1]
# PrTa3O9

A geometry-optimized PrTa3O9 structure (PBE, the Open Quantum Materials Database).

Values from the calculation:
**Calculated total energy**: -9.552 eV per atom
**SG**: P2_1/m

Cell: 5.4125 7.5574 8.1956 Å, 90.00 92.33 90.00°
Fractional positions:
O  0.9099  0.2500  0.0182
O  0.3215  0.0513  0.1180
O  0.3215  0.4487  0.1180
O  0.8499  0.5573  0.2148
O  0.8499  0.9427  0.2148
O  0.4415  0.7500  0.3095
O  0.6512  0.2500  0.3380
O  0.2664  0.0391  0.4657
O  0.2664  0.4609  0.4657
O  0.7336  0.5391  0.5343
O  0.7336  0.9609  0.5343
O  0.3488  0.7500  0.6620
O  0.5585  0.2500  0.6905
O  0.1501  0.0573  0.7852
O  0.1501  0.4427  0.7852
O  0.6785  0.5513  0.8820
O  0.6785  0.9487  0.8820
O  0.0901  0.7500  0.9818
Pr  0.0331  0.7500  0.4357
Pr  0.9669  0.2500  0.5643
Ta  0.0000  0.0000  0.0000
Ta  0.0000  0.5000  0.0000
Ta  0.5272  0.0071  0.2999
Ta  0.5272  0.4929  0.2999
Ta  0.4728  0.5071  0.7001
Ta  0.4728  0.9929  0.7001



[2]
# TbAl2Hg

A geometry-optimized TbAl2Hg structure (PBE, the Open Quantum Materials Database).

Values from the calculation:
**Polymorph energy (0 for the lowest one)**: 7 meV/atom
**SG**: Ama2

Cell: 4.8020 6.3864 6.3864 Å, 120.36 90.00 90.00°
Fractional positions:
Al  0.2500  0.8403  0.1405
Al  0.2500  0.8460  0.6978
Al  0.7500  0.1405  0.8403
Al  0.7500  0.6978  0.8460
Hg  0.2500  0.3221  0.1472
Hg  0.7500  0.1472  0.3221
Tb  0.7500  0.6686  0.3375
Tb  0.2500  0.3375  0.6686



[3]
# ErHO2

A geometry-optimized ErHO2 structure (PBE, the Open Quantum Materials Database).

Values from the calculation:
**Calculated total energy**: -6.975 eV per atom
**SG**: C2/m

Cell: 3.4624 3.4624 9.5633 Å, 101.31 101.31 60.06°
Fractional positions:
Er  0.9041  0.9041  0.2356
Er  0.0959  0.0959  0.7644
H  0.3254  0.3254  0.4848
H  0.6746  0.6746  0.5152
O  0.5414  0.5414  0.1561
O  0.2886  0.2886  0.3803
O  0.7114  0.7114  0.6197
O  0.4586  0.4586  0.8439



[4]
# HfCdSO2

A geometry-optimized HfCdSO2 structure (PBE, the Open Quantum Materials Database).

Values from the calculation:
**Calculated total energy**: -7.007 eV per atom
**SG**: Pm

Cell: 3.8981 3.9604 5.5479 Å, 84.78 89.98 90.00°
Fractional positions:
Cd  0.9999  0.9988  0.9954
Hf  0.4994  0.4552  0.3604
O  0.9993  0.4907  0.2557
O  0.4988  0.9658  0.2930
S  0.5002  0.3922  0.8054



[5]
# Ga2CuMo

A geometry-optimized Ga2CuMo structure (PBE, the Open Quantum Materials Database).

Values from the calculation:
**Calculated total energy**: -4.794 eV per atom
**SG**: F-43m

Cell: 4.3741 4.3741 4.3741 Å, 60.00 60.00 60.00°
Site moments in Bohr magnetons follow the coordinates.
Fractional positions:
Cu  0.0000  0.0000  0.0000  0.02
Ga  0.5000  0.5000  0.5000  0.01
Ga  0.7500  0.7500  0.7500  -0.01
Mo  0.2500  0.2500  0.2500  0.55



[6]
# AcPaCd

A geometry-optimized AcPaCd structure (PBE, the Open Quantum Materials Database).

Values from the calculation:
**ΔE_f**: 2.67 eV/f.u.
**Polymorph energy (0 for the lowest one)**: 0 meV/atom
**SG**: F-43m

Cell: 5.2624 5.2624 5.2624 Å, 60.00 60.00 60.00°
Site moments in Bohr magnetons follow the coordinates.
Fractional positions:
Ac  0.5000  0.5000  0.5000  0.24
Cd  0.0000  0.0000  0.0000  -0.01
Pa  0.2500  0.2500  0.2500  1.37



[7]
# Li2Mg2InGePd2

A geometry-optimized Li2Mg2InGePd2 structure (PBE, the Open Quantum Materials Database).

Values from the calculation:
**Calculated total energy**: -3.612 eV per atom
**SG**: P-4m2

Cell: 4.5056 4.5056 6.4052 Å, 90.00 90.00 90.00°
Fractional positions:
Ge  0.5000  0.5000  0.0000
In  0.0000  0.0000  0.5000
Li  0.0000  0.5000  0.2324
Li  0.5000  0.0000  0.7676
Mg  0.0000  0.0000  0.0000
Mg  0.5000  0.5000  0.5000
Pd  0.5000  0.0000  0.2326
Pd  0.0000  0.5000  0.7674



[8]
# RbNdB

A geometry-optimized RbNdB structure (PBE, the Open Quantum Materials Database).

Values from the calculation:
**Calculated total energy**: -3.043 eV per atom
**SG**: F-43m

Cell: 4.9380 4.9380 4.9380 Å, 60.00 60.00 60.00°
Fractional positions:
B  0.0000  0.0000  0.0000
Nd  0.2500  0.2500  0.2500
Rb  0.7500  0.7500  0.7500



[9]
# Rb2NiIr4

A geometry-optimized Rb2NiIr4 structure (PBE, the Open Quantum Materials Database).

Values from the calculation:
**Calculated total energy**: -4.472 eV per atom
**SG**: I4/mmm

Cell: 9.1555 9.1555 9.1555 Å, 150.71 150.71 41.90°
Site moments in Bohr magnetons follow the coordinates.
Fractional positions:
Ir  0.1294  0.1294  0.0000  0.94
Ir  0.8706  0.8706  0.0000  0.94
Ir  0.5000  0.0000  0.5000  1.12
Ir  0.0000  0.5000  0.5000  0.94
Ni  0.0000  0.0000  0.0000  0.65
Rb  0.3373  0.3373  0.0000  0.01
Rb  0.6627  0.6627  0.0000  0.01



[10]
# TbPu

A geometry-optimized TbPu structure (PBE, the Open Quantum Materials Database).

Values from the calculation:
**ΔE_f**: 3.88 eV/f.u.
**Polymorph energy (0 for the lowest one)**: 1852 meV/atom
**SG**: F-43m

Cell: 4.2442 4.2442 4.2442 Å, 60.00 60.00 60.00°
Site moments in Bohr magnetons follow the coordinates.
Fractional positions:
Pu  0.0000  0.0000  0.0000  5.31
Tb  0.2500  0.2500  0.2500  0.41



[11]
# CdHgSO

A geometry-optimized CdHgSO structure (PBE, the Open Quantum Materials Database).

Values from the calculation:
**Polymorph energy (0 for the lowest one)**: 43 meV/atom
**SG**: P2_12_12_1

Cell: 6.7671 7.6709 6.7512 Å, 90.00 90.00 90.00°
Fractional positions:
Cd  0.1383  0.3475  0.0168
Cd  0.8617  0.8475  0.4832
Cd  0.3617  0.6525  0.5168
Cd  0.6383  0.1525  0.9832
Hg  0.7326  0.6269  0.0455
Hg  0.2674  0.1269  0.4545
Hg  0.7674  0.3731  0.5455
Hg  0.2326  0.8731  0.9545
O  0.3343  0.1248  0.0797
O  0.6657  0.6248  0.4203
O  0.1657  0.8752  0.5797
O  0.8343  0.3752  0.9203
S  0.8792  0.9148  0.1014
S  0.1208  0.4148  0.3986
S  0.6208  0.0852  0.6014
S  0.3792  0.5852  0.8986



[12]
# YTlCdSe3

A geometry-optimized YTlCdSe3 structure (PBE, the Open Quantum Materials Database).

Values from the calculation:
**Polymorph energy (0 for the lowest one)**: 1 meV/atom
**SG**: Cmcm

Cell: 7.6589 7.6589 11.0954 Å, 90.00 90.00 147.94°
Fractional positions:
Cd  0.9608  0.0392  0.2500
Cd  0.0392  0.9608  0.7500
Se  0.8690  0.1310  0.0480
Se  0.5739  0.4261  0.2500
Se  0.8690  0.1310  0.4520
Se  0.1310  0.8690  0.5480
Se  0.4261  0.5739  0.7500
Se  0.1310  0.8690  0.9520
Tl  0.2511  0.7489  0.2500
Tl  0.7489  0.2511  0.7500
Y  0.5000  0.5000  0.0000
Y  0.5000  0.5000  0.5000



[13]
# TlCuTe2PbSe

A geometry-optimized TlCuTe2PbSe structure (PBE, the Open Quantum Materials Database).

Values from the calculation:
**Calculated total energy**: -3.446 eV per atom
**SG**: Cmcm

Cell: 7.0808 7.0808 11.9546 Å, 90.00 90.00 144.74°
Fractional positions:
Cu  0.0627  0.9373  0.2500
Cu  0.9373  0.0627  0.7500
Pb  0.5000  0.5000  0.0000
Pb  0.5000  0.5000  0.5000
Se  0.4730  0.5270  0.2500
Se  0.5270  0.4730  0.7500
Te  0.1648  0.8352  0.0550
Te  0.1648  0.8352  0.4450
Te  0.8352  0.1648  0.5550
Te  0.8352  0.1648  0.9450
Tl  0.7859  0.2141  0.2500
Tl  0.2141  0.7859  0.7500



[14]
# ZnCuNiIr

A geometry-optimized ZnCuNiIr structure (PBE, the Open Quantum Materials Database).

Values from the calculation:
**ΔE_f**: 0.12 eV/f.u.
**Polymorph energy (0 for the lowest one)**: 21 meV/atom
**SG**: F-43m

Cell: 4.1680 4.1680 4.1680 Å, 60.00 60.00 60.00°
Fractional positions:
Cu  0.7500  0.7500  0.7500
Ir  0.5000  0.5000  0.5000
Ni  0.2500  0.2500  0.2500
Zn  0.0000  0.0000  0.0000



[15]
# Tm2ScZn3NiAu2

A geometry-optimized Tm2ScZn3NiAu2 structure (PBE, the Open Quantum Materials Database).

Values from the calculation:
**ΔE_f**: -5.45 eV/f.u.
**SG**: Amm2

Cell: 3.8354 7.1450 7.1450 Å, 119.56 90.00 90.00°
Fractional positions:
Au  0.5000  0.6594  0.3350
Au  0.5000  0.3350  0.6594
Ni  0.0000  0.0042  0.0042
Sc  0.0000  0.3976  0.3976
Tm  0.0000  0.5990  0.0000
Tm  0.0000  0.0000  0.5990
Zn  0.5000  0.2355  0.0041
Zn  0.5000  0.0041  0.2355
Zn  0.5000  0.7650  0.7650



[16]
# LuCoAgGe

A geometry-optimized LuCoAgGe structure (PBE, the Open Quantum Materials Database).

Values from the calculation:
**Polymorph energy (0 for the lowest one)**: 10 meV/atom
**SG**: F-43m

Cell: 4.6135 4.6135 4.6135 Å, 60.00 60.00 60.00°
Site moments in Bohr magnetons follow the coordinates.
Fractional positions:
Ag  0.5000  0.5000  0.5000  -0.01
Co  0.7500  0.7500  0.7500  0.60
Ge  0.0000  0.0000  0.0000  -0.01
Lu  0.2500  0.2500  0.2500  -0.04



[17]
# YMgAu2

A geometry-optimized YMgAu2 structure (PBE, the Open Quantum Materials Database).

Values from the calculation:
**Calculated total energy**: -4.018 eV per atom
**SG**: P6_3/mmc

Cell: 4.9316 4.9316 7.8898 Å, 90.00 90.00 120.00°
Fractional positions:
Au  0.3333  0.6667  0.0771
Au  0.3333  0.6667  0.4229
Au  0.6667  0.3333  0.5771
Au  0.6667  0.3333  0.9229
Mg  0.6667  0.3333  0.2500
Mg  0.3333  0.6667  0.7500
Y  0.0000  0.0000  0.2500
Y  0.0000  0.0000  0.7500



[18]
# Li4AlGa2Hg

A geometry-optimized Li4AlGa2Hg structure (PBE, the Open Quantum Materials Database).

Values from the calculation:
**Calculated total energy**: -2.528 eV per atom
**SG**: P-4m2

Cell: 4.4502 4.4502 6.3453 Å, 90.00 90.00 90.00°
Fractional positions:
Al  0.0000  0.0000  0.0000
Ga  0.5000  0.0000  0.2385
Ga  0.0000  0.5000  0.7615
Hg  0.5000  0.5000  0.5000
Li  0.5000  0.5000  0.0000
Li  0.0000  0.5000  0.2530
Li  0.0000  0.0000  0.5000
Li  0.5000  0.0000  0.7470



[19]
# ZnBrCl

A geometry-optimized ZnBrCl structure (PBE, the Open Quantum Materials Database).

Values from the calculation:
**Calculated total energy**: -2.598 eV per atom
**SG**: P4_2mc

Cell: 3.8258 3.8258 11.8298 Å, 90.00 90.00 90.00°
Fractional positions:
Br  0.0000  0.0000  0.3785
Br  0.0000  0.0000  0.8785
Cl  0.5000  0.5000  0.1165
Cl  0.5000  0.5000  0.6165
Zn  0.0000  0.5000  0.0050
Zn  0.5000  0.0000  0.5050



[20]
# ZnFeCu4Sn2

A geometry-optimized ZnFeCu4Sn2 structure (PBE, the Open Quantum Materials Database).

Values from the calculation:
**Calculated total energy**: -3.908 eV per atom
**SG**: P4/mmm

Cell: 4.3654 4.3654 6.2580 Å, 90.00 90.00 90.00°
Site moments in Bohr magnetons follow the coordinates.
Fractional positions:
Cu  0.5000  0.0000  0.2527  0.00
Cu  0.0000  0.5000  0.2527  -0.01
Cu  0.5000  0.0000  0.7473  0.00
Cu  0.0000  0.5000  0.7473  -0.01
Fe  0.0000  0.0000  0.5000  2.66
Sn  0.0000  0.0000  0.0000  0.00
Sn  0.5000  0.5000  0.5000  0.00
Zn  0.5000  0.5000  0.0000  -0.01



[21]
# PaTeAsO

A geometry-optimized PaTeAsO structure (PBE, the Open Quantum Materials Database).

Values from the calculation:
**Polymorph energy (0 for the lowest one)**: 0 meV/atom
**SG**: P4/nmm

Cell: 4.1044 4.1044 10.3120 Å, 90.00 90.00 90.00°
Fractional positions:
As  0.7500  0.7500  0.2456
As  0.2500  0.2500  0.7544
O  0.7500  0.2500  0.0000
O  0.2500  0.7500  0.0000
Pa  0.2500  0.2500  0.1249
Pa  0.7500  0.7500  0.8751
Te  0.7500  0.2500  0.5000
Te  0.2500  0.7500  0.5000



[22]
# SmYPb4

A geometry-optimized SmYPb4 structure (PBE, the Open Quantum Materials Database).

Values from the calculation:
**Calculated total energy**: -4.135 eV per atom
**SG**: Amm2

Cell: 3.3293 10.2248 10.2248 Å, 36.10 90.00 90.00°
Fractional positions:
Pb  0.0000  0.0794  0.0794
Pb  0.0000  0.2413  0.2413
Pb  0.0000  0.7589  0.7589
Pb  0.0000  0.9161  0.9161
Sm  0.0000  0.5958  0.5958
Y  0.0000  0.4086  0.4086



[23]
# Dy2TaNbGe2

A geometry-optimized Dy2TaNbGe2 structure (PBE, the Open Quantum Materials Database).

Values from the calculation:
**Calculated total energy**: -7.350 eV per atom
**SG**: P-4m2

Cell: 4.0272 4.0272 7.8527 Å, 90.00 90.00 90.00°
Site moments in Bohr magnetons follow the coordinates.
Fractional positions:
Dy  0.5000  0.0000  0.3512  0.32
Dy  0.0000  0.5000  0.6488  0.32
Ge  0.0000  0.5000  0.2458  -0.01
Ge  0.5000  0.0000  0.7542  -0.01
Nb  0.5000  0.5000  0.0000  0.07
Ta  0.0000  0.0000  0.0000  0.04



[24]
# KSmCdO3

A geometry-optimized KSmCdO3 structure (PBE, the Open Quantum Materials Database).

Values from the calculation:
**Calculated total energy**: -5.565 eV per atom
**SG**: Cmcm

Cell: 6.6866 6.6866 9.3145 Å, 90.00 90.00 148.03°
Fractional positions:
Cd  0.5957  0.4043  0.2500
Cd  0.4043  0.5957  0.7500
K  0.3168  0.6832  0.2500
K  0.6832  0.3168  0.7500
O  0.6152  0.3848  0.0273
O  0.9757  0.0243  0.2500
O  0.6152  0.3848  0.4727
O  0.3848  0.6152  0.5273
O  0.0243  0.9757  0.7500
O  0.3848  0.6152  0.9727
Sm  0.0000  0.0000  0.0000
Sm  0.0000  0.0000  0.5000



[25]
# ErBeTl

A geometry-optimized ErBeTl structure (PBE, the Open Quantum Materials Database).

Values from the calculation:
**Polymorph energy (0 for the lowest one)**: 358 meV/atom
**SG**: F-43m

Cell: 4.7876 4.7876 4.7876 Å, 60.00 60.00 60.00°
Fractional positions:
Be  0.2500  0.2500  0.2500
Er  0.0000  0.0000  0.0000
Tl  0.7500  0.7500  0.7500